# 1
Li2Pu4Rh5: optimized geometry, PBE.

a b c (Å): 10.214 10.214 10.214
angles (deg): 131.57 58.74 148.80
Fractional positions:
Li1 0.055 0.250 0.805
Li2 0.445 0.250 0.195
Li3 0.555 0.750 0.805
Li4 0.945 0.750 0.195
Pu1 0.062 0.228 0.291
Pu2 0.152 0.624 0.775
Pu3 0.348 0.124 0.472
Pu4 0.438 0.728 0.166
Pu5 0.562 0.272 0.834
Pu6 0.652 0.876 0.528
Pu7 0.848 0.376 0.225
Pu8 0.938 0.772 0.709
Rh1 0.074 0.906 0.979
Rh2 0.210 0.306 0.516
Rh3 0.250 0.750 0.500
Rh4 0.290 0.806 0.096
Rh5 0.426 0.406 0.832
Rh6 0.574 0.594 0.168
Rh7 0.710 0.194 0.904
Rh8 0.750 0.250 0.500
Rh9 0.790 0.694 0.484
Rh10 0.926 0.094 0.021

Summary:
- Density of states at the Fermi level: 55.1 states/eV/cell
- Energy of formation from the pure elements: -378 kJ/mol of formula units
- Size of the total moment: 19.462 μB/f.u.
- Volume: 409.7 Å³/cell

---

# 2
LiPuRh3: optimized geometry, PBE.

a b c (Å): 7.516 5.602 8.002
angles (deg): 90.00 104.26 90.00
Fractional positions:
Li1 0.038 0.247 0.013
Li2 0.038 0.253 0.513
Li3 0.962 0.747 0.487
Li4 0.962 0.753 0.987
Pu1 0.367 0.682 0.616
Pu2 0.367 0.818 0.116
Pu3 0.633 0.182 0.884
Pu4 0.633 0.318 0.384
Rh1 0.157 0.529 0.788
Rh2 0.157 0.971 0.288
Rh3 0.207 0.020 0.799
Rh4 0.207 0.480 0.299
Rh5 0.398 0.186 0.555
Rh6 0.398 0.314 0.055
Rh7 0.602 0.686 0.945
Rh8 0.602 0.814 0.445
Rh9 0.793 0.520 0.701
Rh10 0.793 0.980 0.201
Rh11 0.843 0.029 0.712
Rh12 0.843 0.471 0.212

Summary:
- Density of states at the Fermi level: 29.2 states/eV/cell
- Energy of formation from the pure elements: -122 kJ/mol of formula units
- Size of the total moment: 3.237 μB/f.u.
- Volume: 326.6 Å³/cell

---

# 3
LiPu3Rh3: optimized geometry, PBE.

a b c (Å): 6.235 6.235 6.827
angles (deg): 90.00 90.00 91.98
Fractional positions:
Li1 0.212 0.788 0.000
Li2 0.788 0.212 0.000
Pu1 0.279 0.279 0.500
Pu2 0.280 0.280 0.000
Pu3 0.294 0.706 0.500
Pu4 0.706 0.294 0.500
Pu5 0.720 0.720 0.000
Pu6 0.721 0.721 0.500
Rh1 0.000 0.000 0.281
Rh2 0.000 0.000 0.719
Rh3 0.000 0.500 0.222
Rh4 0.000 0.500 0.778
Rh5 0.500 0.000 0.222
Rh6 0.500 0.000 0.778

Summary:
- Density of states at the Fermi level: 44.4 states/eV/cell
- Energy of formation from the pure elements: -182 kJ/mol of formula units
- Size of the total moment: 4.851 μB/f.u.
- Volume: 265.2 Å³/cell

---

# 4
LiPu3Rh8: optimized geometry, PBE.

a b c (Å): 9.164 9.164 9.164
angles (deg): 33.49 33.49 33.49
Fractional positions:
Li1 0.000 0.000 0.000
Pu1 0.123 0.123 0.123
Pu2 0.504 0.504 0.504
Pu3 0.632 0.632 0.632
Rh1 0.066 0.066 0.565
Rh2 0.066 0.564 0.564
Rh3 0.066 0.565 0.066
Rh4 0.315 0.315 0.315
Rh5 0.564 0.066 0.564
Rh6 0.564 0.564 0.066
Rh7 0.565 0.066 0.066
Rh8 0.815 0.815 0.815

Summary:
- Density of states at the Fermi level: 28.5 states/eV/cell
- Energy of formation from the pure elements: -468 kJ/mol of formula units
- Size of the total moment: 13.630 μB/f.u.
- Volume: 208.8 Å³/cell

---

# 5
Li2Pu3Rh4: optimized geometry, PBE.

a b c (Å): 4.543 4.543 8.830
angles (deg): 90.11 90.11 59.97
Fractional positions:
Li1 0.167 0.167 0.293
Li2 0.833 0.833 0.707
Pu1 0.166 0.166 0.924
Pu2 0.500 0.500 0.500
Pu3 0.834 0.834 0.076
Rh1 0.167 0.167 0.602
Rh2 0.500 0.500 0.172
Rh3 0.500 0.500 0.828
Rh4 0.833 0.833 0.398

Summary:
- Density of states at the Fermi level: 17.7 states/eV/cell
- Energy of formation from the pure elements: -292 kJ/mol of formula units
- Size of the total moment: 5.612 μB/f.u.
- Volume: 157.8 Å³/cell
- Distance to the lowest polymorph of the same formula: 0.000 eV per atom

---

# 6
LiPu8Rh6: optimized geometry, PBE.

a b c (Å): 8.946 8.946 8.946
angles (deg): 41.05 41.05 41.05
Fractional positions:
Li1 0.000 0.000 0.000
Pu1 0.142 0.484 0.801
Pu2 0.199 0.858 0.516
Pu3 0.335 0.335 0.335
Pu4 0.484 0.801 0.142
Pu5 0.516 0.199 0.858
Pu6 0.665 0.665 0.665
Pu7 0.801 0.142 0.484
Pu8 0.858 0.516 0.199
Rh1 0.059 0.787 0.351
Rh2 0.213 0.649 0.941
Rh3 0.351 0.059 0.787
Rh4 0.649 0.941 0.213
Rh5 0.787 0.351 0.059
Rh6 0.941 0.213 0.649

Summary:
- Density of states at the Fermi level: 40.5 states/eV/cell
- Energy of formation from the pure elements: -103 kJ/mol of formula units
- Size of the total moment: 8.870 μB/f.u.
- Volume: 278.8 Å³/cell

---

# 7
LiPu3Rh4: optimized geometry, PBE.

a b c (Å): 4.667 4.667 8.303
angles (deg): 106.53 106.53 59.86
Fractional positions:
Li1 0.000 0.000 0.000
Pu1 0.257 0.257 0.770
Pu2 0.500 0.500 0.500
Pu3 0.743 0.743 0.230
Rh1 0.119 0.119 0.358
Rh2 0.373 0.373 0.118
Rh3 0.627 0.627 0.882
Rh4 0.881 0.881 0.642

Summary:
- Density of states at the Fermi level: 22.2 states/eV/cell
- Energy of formation from the pure elements: -317 kJ/mol of formula units
- Size of the total moment: 14.416 μB/f.u.
- Volume: 147.7 Å³/cell

---

# 8
LiPuRh: optimized geometry, PBE.

a b c (Å): 5.399 5.399 3.971
angles (deg): 111.46 111.46 99.14
Fractional positions:
Li1 0.063 0.937 0.750
Li2 0.937 0.063 0.250
Pu1 0.419 0.581 0.750
Pu2 0.581 0.419 0.250
Rh1 0.000 0.500 0.000
Rh2 0.500 0.000 0.500

Summary:
- Density of states at the Fermi level: 10.2 states/eV/cell
- Energy of formation from the pure elements: -33 kJ/mol of formula units
- Size of the total moment: 1.414 μB/f.u.
- Volume: 94.3 Å³/cell
- Distance to the lowest polymorph of the same formula: 0.219 eV per atom